# 1
A relaxed structure of K2CuSbBr6. Source: Alexandria via LeMat-Bulk, functional PBE-GGA.

Values from the calculation:
- calculated volume (Å³ per cell) = 326.4
- symmetry = Fm-3m, No. 225
- energy relative to the elements, uncorrected (kJ per mole of atoms) = -92.4
- total magnetization (μB/atom) = 0.000
- final energy (eV/atom) = -3.002

Structure (POSCAR):
```
K2CuSbBr6
1.0
0.000 5.465 5.465
5.465 0.000 5.465
5.465 5.465 0.000
K Cu Sb Br
2 1 1 6
Direct
0.250 0.250 0.250
0.750 0.750 0.750
0.000 0.000 0.000
0.500 0.500 0.500
0.242 0.242 0.758
0.242 0.758 0.242
0.242 0.758 0.758
0.758 0.242 0.242
0.758 0.242 0.758
0.758 0.758 0.242
```

---

# 2
A relaxed structure of K2ZnPbAu. Source: Alexandria via LeMat-Bulk, functional PBE-GGA.

Values from the calculation:
- calculated volume (Å³ per cell) = 233.5
- energy relative to the elements (eV per atom) = 0.25
- symmetry = P4/mmm, No. 123
- total magnetization (μB/atom) = 0.000
- final energy (eV/atom) = -1.838

Structure (POSCAR):
```
K2ZnPbAu
1.0
6.825 0.000 0.000
0.000 6.825 0.000
0.000 0.000 5.012
K Zn Pb Au
2 1 1 1
Direct
0.000 0.500 0.000
0.500 0.000 0.000
0.000 0.000 0.500
0.000 0.000 0.000
0.500 0.500 0.500
```

---

# 3
A relaxed structure of TbPm3Dy5. Source: Alexandria via LeMat-Bulk, functional PBE-GGA.

Values from the calculation:
- calculated volume (Å³ per cell) = 589.5
- energy relative to the elements (eV per atom) = 0.27
- symmetry = I4/mcm, No. 140
- total magnetization (μB/atom) = 0.000
- final energy (eV/atom) = -4.389

Structure (POSCAR):
```
TbPm3Dy5
1.0
-4.357 4.357 7.763
4.357 -4.357 7.763
4.357 4.357 -7.763
Tb Pm Dy
2 6 10
Direct
0.250 0.750 0.500
0.750 0.250 0.500
0.117 0.617 0.734
0.250 0.250 0.000
0.383 0.117 0.500
0.617 0.883 0.500
0.750 0.750 0.000
0.883 0.383 0.266
0.000 0.000 0.000
0.072 0.153 0.500
0.153 0.653 0.081
0.347 0.428 0.500
0.428 0.928 0.081
0.500 0.500 0.000
0.572 0.072 0.919
0.653 0.572 0.500
0.847 0.347 0.919
0.928 0.847 0.500
```

---

# 4
A relaxed structure of ZrAg2Hg. Source: Alexandria via LeMat-Bulk, functional PBE-GGA.

Values from the calculation:
- calculated volume (Å³ per cell) = 81.5
- energy relative to the elements (eV per atom) = 0.08
- symmetry = Pmmm, No. 47
- total magnetization (μB/atom) = 0.000
- final energy (eV/atom) = -3.562

Structure (POSCAR):
```
ZrAg2Hg
1.0
3.106 0.000 0.000
0.000 5.111 0.000
0.000 0.000 5.132
Zr Ag Hg
1 2 1
Direct
0.000 0.000 0.000
0.000 0.500 0.500
0.500 0.500 0.000
0.500 0.000 0.500
```

---

# 5
A relaxed structure of TaNbS2. Source: Alexandria via LeMat-Bulk, functional PBE-GGA.

Values from the calculation:
- calculated volume (Å³ per cell) = 71.5
- symmetry = R-3m, No. 166
- energy relative to the elements, uncorrected (kJ per mole of atoms) = -48.9
- total magnetization (μB/atom) = 0.000
- final energy (eV/atom) = -8.051

Structure (POSCAR):
```
TaNbS2
1.0
1.570 0.906 8.374
-1.570 0.906 8.374
0.000 -1.813 8.374
Ta Nb S
1 1 2
Direct
0.000 0.000 0.000
0.500 0.500 0.500
0.401 0.401 0.401
0.599 0.599 0.599
```

---

# 6
A relaxed structure of Ti4TcGe4. Source: Alexandria via LeMat-Bulk, functional PBE-GGA.

Values from the calculation:
- calculated volume (Å³ per cell) = 159.0
- energy relative to the elements (eV per atom) = -0.12
- symmetry = I4/m, No. 87
- total magnetization (μB/atom) = 0.000
- final energy (eV/atom) = -6.830

Structure (POSCAR):
```
Ti4TcGe4
1.0
-3.938 3.938 2.563
3.938 -3.938 2.563
3.938 3.938 -2.563
Ti Tc Ge
4 1 4
Direct
0.102 0.279 0.380
0.279 0.898 0.177
0.721 0.102 0.823
0.898 0.721 0.620
0.500 0.500 0.000
0.197 0.588 0.785
0.412 0.197 0.608
0.588 0.803 0.392
0.803 0.412 0.215
```

---

# 7
A relaxed structure of NaSnP2S. Source: Alexandria via LeMat-Bulk, functional PBE-GGA.

Values from the calculation:
- calculated volume (Å³ per cell) = 137.1
- symmetry = P4/mmm, No. 123
- energy relative to the elements, uncorrected (kJ per mole of atoms) = 48.6
- total magnetization (μB/atom) = 0.388
- final energy (eV/atom) = -3.550

Structure (POSCAR):
```
NaSnP2S
1.0
5.127 0.000 0.000
0.000 5.127 0.000
0.000 0.000 5.213
Na Sn P S
1 1 2 1
Direct
0.000 0.000 0.000
0.500 0.500 0.500
0.000 0.500 0.500
0.500 0.000 0.500
0.500 0.500 0.000
```

---

# 8
A relaxed structure of SmGe2BRu2. Source: Alexandria via LeMat-Bulk, functional PBE-GGA.

Values from the calculation:
- calculated volume (Å³ per cell) = 96.5
- energy relative to the elements (eV per atom) = -0.55
- symmetry = P4/mmm, No. 123
- total magnetization (μB/atom) = 0.000
- final energy (eV/atom) = -7.077

Structure (POSCAR):
```
SmGe2BRu2
1.0
4.174 0.000 0.000
0.000 4.174 0.000
0.000 0.000 5.541
Sm Ge B Ru
1 2 1 2
Direct
0.000 0.000 0.000
0.500 0.500 0.223
0.500 0.500 0.777
0.000 0.000 0.500
0.000 0.500 0.500
0.500 0.000 0.500
```

---

# 9
A relaxed structure of AgRh7. Source: Alexandria via LeMat-Bulk, functional PBE-GGA.

Values from the calculation:
- calculated volume (Å³ per cell) = 116.4
- energy relative to the elements (eV per atom) = 0.14
- symmetry = Fm-3m, No. 225
- total magnetization (μB/atom) = 0.000
- final energy (eV/atom) = -6.647

Structure (POSCAR):
```
AgRh7
1.0
0.000 3.876 3.876
3.876 0.000 3.876
3.876 3.876 0.000
Ag Rh
1 7
Direct
0.000 0.000 0.000
0.000 0.000 0.500
0.000 0.500 0.000
0.000 0.500 0.500
0.500 0.000 0.000
0.500 0.000 0.500
0.500 0.500 0.000
0.500 0.500 0.500
```

---

# 10
A relaxed structure of Ga2BCl. Source: Alexandria via LeMat-Bulk, functional PBE-GGA.

Values from the calculation:
- calculated volume (Å³ per cell) = 68.2
- symmetry = Fm-3m, No. 225
- energy relative to the elements, uncorrected (kJ per mole of atoms) = 76.0
- total magnetization (μB/atom) = 0.000
- final energy (eV/atom) = -2.857

Structure (POSCAR):
```
Ga2BCl
1.0
0.000 3.242 3.242
3.242 0.000 3.242
3.242 3.242 0.000
Ga B Cl
2 1 1
Direct
0.250 0.250 0.250
0.750 0.750 0.750
0.000 0.000 0.000
0.500 0.500 0.500
```

---

# 11
A relaxed structure of TbTh5Os4. Source: Alexandria via LeMat-Bulk, functional PBE-GGA.

Values from the calculation:
- calculated volume (Å³ per cell) = 271.1
- energy relative to the elements (eV per atom) = -0.19
- symmetry = C2/m, No. 12
- total magnetization (μB/atom) = 0.000
- final energy (eV/atom) = -8.858

Structure (POSCAR):
```
TbTh5Os4
1.0
8.549 -2.287 0.000
8.549 2.287 0.000
-2.115 0.000 6.933
Tb Th Os
1 5 4
Direct
0.000 0.000 0.000
0.000 0.000 0.500
0.334 0.334 0.033
0.338 0.338 0.543
0.662 0.662 0.457
0.666 0.666 0.967
0.195 0.195 0.223
0.486 0.486 0.288
0.514 0.514 0.712
0.805 0.805 0.777
```

---

# 12
A relaxed structure of LiTaNb2. Source: Alexandria via LeMat-Bulk, functional PBE-GGA.

Values from the calculation:
- calculated volume (Å³ per cell) = 69.3
- energy relative to the elements (eV per atom) = 0.30
- symmetry = Fm-3m, No. 225
- total magnetization (μB/atom) = 0.000
- final energy (eV/atom) = -8.173

Structure (POSCAR):
```
LiTaNb2
1.0
0.000 3.260 3.260
3.260 0.000 3.260
3.260 3.260 0.000
Li Ta Nb
1 1 2
Direct
0.000 0.000 0.000
0.500 0.500 0.500
0.250 0.250 0.250
0.750 0.750 0.750
```